A plane-wave DFT calculation with PBE+U was carried out for a relaxed structure of MoN2F2.

a b c (Å): 3.5919 3.5919 4.1810
angles (deg): 90.00 90.00 90.00
Atoms (fractional coordinates):
Mo: 0.0000 0.0000 0.0000
N: 0.0000 0.5000 0.5000
N: 0.5000 0.0000 0.5000
F: 0.5000 0.5000 0.0000
F: 0.5000 0.5000 0.5000

Values from the calculation:
The value obtained for the volume is 53.9 Å³/cell. The value obtained for the size of the total moment is 1.8 Bohr magnetons per cell. For the density of states at the Fermi level, the calculation gives 0.26 states/eV per atom. Its energy above the most stable polymorph in this dataset is 1.357 eV per atom. Its calculated total energy is -4.077 eV per atom. As for the mass density: 4.985 g/cm3.